## SrZnOs2 (PBE)

Data for a geometry-optimized SrZnOs2 structure.

It has space group C2/m (No. 12), with a = 9.6027 Å, b = 2.9118 Å, c = 5.6765 Å, α = 90.00°, β = 102.23° and γ = 90.00°. The inequivalent atoms are Sr at (0.0000, 0.0000, 0.0000), Zn at (0.0000, 0.5000, 0.5000) and Os at (0.2260, 0.0000, 0.6679).

Its magnetization is 0.000 μB per atom. As for the formation energy from the elements: 0.645 eV per atom. The calculation puts the total energy at -22.8 eV per formula unit.